# K3CoO3 (GGA+U, relaxed)
# - raw total energy (eV per atom) = -4.59
# - energy above the most stable polymorph in this dataset (meV per atom) = 28
data_K3CoO3
_symmetry_space_group_name_H-M 'P 1'
_symmetry_Int_Tables_number 1
_cell_length_a 6.226
_cell_length_b 6.346
_cell_length_c 6.633
_cell_angle_alpha 95.82
_cell_angle_beta 111.76
_cell_angle_gamma 94.29
loop_
_symmetry_equiv_pos_as_xyz
'x,y,z'
loop_
_atom_site_label
_atom_site_fract_x
_atom_site_fract_y
_atom_site_fract_z
K1 0.720 0.463 0.742
K2 0.690 0.850 0.081
K3 0.280 0.537 0.258
K4 0.793 0.979 0.640
K5 0.207 0.021 0.360
K6 0.310 0.150 0.919
O1 0.100 0.338 0.592
O2 0.900 0.662 0.408
O3 0.429 0.773 0.663
O4 0.116 0.755 0.924
O5 0.884 0.245 0.076
O6 0.571 0.227 0.337
Co1 0.169 0.649 0.685
Co2 0.831 0.351 0.315

***

# KCoO3 (GGA+U, relaxed)
# - raw total energy (eV per atom) = -4.51
data_KCoO3
_symmetry_space_group_name_H-M 'P 1'
_symmetry_Int_Tables_number 1
_cell_length_a 3.949
_cell_length_b 3.949
_cell_length_c 4.717
_cell_angle_alpha 90.00
_cell_angle_beta 90.00
_cell_angle_gamma 90.00
loop_
_symmetry_equiv_pos_as_xyz
'x,y,z'
loop_
_atom_site_label
_atom_site_fract_x
_atom_site_fract_y
_atom_site_fract_z
Co1 0.000 0.000 0.876
O1 0.000 0.500 0.876
O2 0.500 0.500 0.886
O3 0.500 0.000 0.876
K1 0.500 0.500 0.386

***

Copy entry 2 word for word.
# KCoO3 (GGA+U, relaxed)
# - raw total energy (eV per atom) = -4.51
data_KCoO3
_symmetry_space_group_name_H-M 'P 1'
_symmetry_Int_Tables_number 1
_cell_length_a 3.949
_cell_length_b 3.949
_cell_length_c 4.717
_cell_angle_alpha 90.00
_cell_angle_beta 90.00
_cell_angle_gamma 90.00
loop_
_symmetry_equiv_pos_as_xyz
'x,y,z'
loop_
_atom_site_label
_atom_site_fract_x
_atom_site_fract_y
_atom_site_fract_z
Co1 0.000 0.000 0.876
O1 0.000 0.500 0.876
O2 0.500 0.500 0.886
O3 0.500 0.000 0.876
K1 0.500 0.500 0.386

***

Copy entry 2 word for word.
# KCoO3 (GGA+U, relaxed)
# - raw total energy (eV per atom) = -4.51
data_KCoO3
_symmetry_space_group_name_H-M 'P 1'
_symmetry_Int_Tables_number 1
_cell_length_a 3.949
_cell_length_b 3.949
_cell_length_c 4.717
_cell_angle_alpha 90.00
_cell_angle_beta 90.00
_cell_angle_gamma 90.00
loop_
_symmetry_equiv_pos_as_xyz
'x,y,z'
loop_
_atom_site_label
_atom_site_fract_x
_atom_site_fract_y
_atom_site_fract_z
Co1 0.000 0.000 0.876
O1 0.000 0.500 0.876
O2 0.500 0.500 0.886
O3 0.500 0.000 0.876
K1 0.500 0.500 0.386